(1)
PrNdAg4 | PBE | optimized geometry

a b c (Å): 3.596 4.852 8.311
angles (deg): 90.00 90.00 90.00
Positions (direct):
Pr (0.999, 0.997, 0.498)
Nd (0.999, 0.497, 0.998)
Ag (0.499, 0.997, 0.165)
Ag (0.499, 0.997, 0.831)
Ag (0.499, 0.497, 0.666)
Ag (0.499, 0.497, 0.330)

Summary:
Energy above the lowest structure with this stoichiometry in meV/atom: 0
Total magnetization in μB/atom: 0.00
ΔH_f (0 K) in meV per atom: -255

=====

(2)
AcHoZnCo | PBE | optimized geometry

a b c (Å): 5.109 5.109 5.109
angles (deg): 60.00 60.00 60.00
Positions (direct):
Zn (0.000, 0.000, 0.000)
Ac (0.250, 0.250, 0.250)
Co (0.500, 0.500, 0.500)
Ho (0.750, 0.750, 0.750)

Summary:
Total magnetization in μB/atom: 0.00
ΔH_f (0 K) in meV per atom: -52

=====

(3)
Er2Tl4In | PBE | optimized geometry

a b c (Å): 5.978 5.978 7.039
angles (deg): 104.31 104.31 114.71
Positions (direct):
Tl (0.750, 0.250, 0.500)
Tl (0.250, 0.750, 0.500)
Tl (0.500, 0.000, 0.000)
Tl (0.000, 0.500, 0.000)
In (0.000, 0.000, 0.000)
Er (0.649, 0.649, 0.297)
Er (0.351, 0.351, 0.703)

Summary:
Total magnetization in μB/atom: 0.00
ΔH_f (0 K) in meV per atom: 1

=====

(4)
Al2BIr2 | PBE | optimized geometry

a b c (Å): 5.758 5.758 4.145
angles (deg): 90.00 90.00 90.00
Positions (direct):
B (0.000, 0.000, 0.000)
B (0.500, 0.500, 0.000)
Ir (0.333, 0.833, 0.000)
Ir (0.833, 0.667, 0.000)
Ir (0.667, 0.167, 0.000)
Ir (0.167, 0.333, 0.000)
Al (0.162, 0.662, 0.500)
Al (0.662, 0.838, 0.500)
Al (0.838, 0.338, 0.500)
Al (0.338, 0.162, 0.500)

Summary:
Total magnetization in μB/atom: 0.00
ΔH_f (0 K) in meV per atom: -450